# Sm7Ho12Mg

A geometry-optimized Sm7Ho12Mg structure (GGA-PBE, Alexandria via LeMat-Bulk).

The space group is R-3 (No. 148, hexagonal axes) and the conventional cell measures 11.9041, 11.9041 and 16.0015 Å, with angles of 90.00, 90.00 and 120.00 degrees. The distinct sites, in fractional coordinates, are Sm at (0.0000, 0.0000, 0.0000), Sm at (0.0581, 0.8697, 0.2911), Ho at (0.0326, 0.5763, 0.2184), Ho at (0.0534, 0.4691, 0.5841) and Mg at (0.0000, 0.0000, 0.5000).

The value obtained for the spin magnetization is 0.00 Bohr magnetons per cell. For the formation energy from the elements, the calculation gives 0.21 eV/atom. The volume comes out at 32.73 A^3/atom.

***

# Sm8HoMg2

A geometry-optimized Sm8HoMg2 structure (GGA-PBE, Alexandria via LeMat-Bulk).

The space group is C2/m (No. 12) and the conventional cell measures 17.3362, 5.2291 and 8.3056 Å, with angles of 90.00, 111.58 and 90.00 degrees. The distinct sites, in fractional coordinates, are Sm at (0.0507, 0.0000, 0.2341), Sm at (0.0968, 0.5000, 0.9633), Sm at (0.1439, 0.0000, 0.6991), Sm at (0.1843, 0.5000, 0.4424), Ho at (0.0000, 0.5000, 0.5000) and Mg at (0.2263, 0.0000, 0.1320).

The value obtained for the spin magnetization is 0.00 Bohr magnetons per cell. For the formation energy from the elements, the calculation gives 0.01 eV/atom. The value obtained for the energy above the most stable polymorph in this dataset is 0.000 eV per formula unit. The volume comes out at 31.82 A^3/atom.

***

# Sm12Ho2Mg

A geometry-optimized Sm12Ho2Mg structure (GGA-PBE, Alexandria via LeMat-Bulk).

The space group is Cmme (No. 67) and the conventional cell measures 7.1485, 11.5145 and 24.5866 Å, with angles of 90.00, 90.00 and 90.00 degrees. The distinct sites, in fractional coordinates, are Sm at (0.0000, 0.9996, 0.0742), Sm at (0.0000, 0.0233, 0.4394), Sm at (0.2324, 0.2500, 0.5871), Sm at (0.2493, 0.2500, 0.1265), Sm at (0.2500, 0.0000, 0.1968), Sm at (0.2500, 0.0000, 0.3239), Ho at (0.0000, 0.2500, 0.2672), Ho at (0.0000, 0.2500, 0.7365) and Mg at (0.0000, 0.2500, 0.0000).

The value obtained for the spin magnetization is 0.00 Bohr magnetons per cell. For the formation energy from the elements, the calculation gives 0.15 eV/atom. The volume comes out at 33.73 A^3/atom.

***

> Which value of formation energy from the elements does entry 3 give?

0.15 eV/atom

***

> Which value of formation energy from the elements does entry 3 give?

0.15 eV/atom

***

> Number 2 is which compound?

Sm8HoMg2

***

Repeat the first record exactly.
# Sm7Ho12Mg

A geometry-optimized Sm7Ho12Mg structure (GGA-PBE, Alexandria via LeMat-Bulk).

The space group is R-3 (No. 148, hexagonal axes) and the conventional cell measures 11.9041, 11.9041 and 16.0015 Å, with angles of 90.00, 90.00 and 120.00 degrees. The distinct sites, in fractional coordinates, are Sm at (0.0000, 0.0000, 0.0000), Sm at (0.0581, 0.8697, 0.2911), Ho at (0.0326, 0.5763, 0.2184), Ho at (0.0534, 0.4691, 0.5841) and Mg at (0.0000, 0.0000, 0.5000).

The value obtained for the spin magnetization is 0.00 Bohr magnetons per cell. For the formation energy from the elements, the calculation gives 0.21 eV/atom. The volume comes out at 32.73 A^3/atom.